# Rb2HfSnSe5 | Alexandria via LeMat-Bulk | GGA-PBE | optimized geometry
# - total magnetic moment (μB/cell) = 0.00
# - raw total energy (eV per atom) = -4.7122
data_Rb2HfSnSe5
_cell_length_a 4.046
_cell_length_b 20.331
_cell_length_c 14.836
_cell_angle_alpha 90.00
_cell_angle_beta 90.00
_cell_angle_gamma 90.00
_symmetry_space_group_name_H-M 'C m c 21'
_symmetry_Int_Tables_number 36
loop_
_symmetry_equiv_pos_as_xyz
'x,y,z'
'-x,-y,z+1/2'
'-x,y,z'
'x,-y,z+1/2'
'x+1/2,y+1/2,z'
'-x+1/2,-y+1/2,z+1/2'
'-x+1/2,y+1/2,z'
'x+1/2,-y+1/2,z+1/2'
loop_
_atom_site_label
_atom_site_fract_x
_atom_site_fract_y
_atom_site_fract_z
Rb1 0.000 0.128 0.000
Rb2 0.000 0.134 0.640
Hf1 0.000 0.213 0.350
Sn1 0.000 0.435 0.742
Se1 0.000 0.060 0.356
Se2 0.000 0.301 0.964
Se3 0.000 0.309 0.718
Se4 0.000 0.332 0.322
Se5 0.000 0.497 0.600

=====

# Rb2HfSnSe | Alexandria via LeMat-Bulk | GGA-PBE | optimized geometry
# - total magnetic moment (μB/cell) = 2.33
# - raw total energy (eV per atom) = -2.9303
data_Rb2HfSnSe
_cell_length_a 7.110
_cell_length_b 7.110
_cell_length_c 5.281
_cell_angle_alpha 90.00
_cell_angle_beta 90.00
_cell_angle_gamma 90.00
_symmetry_space_group_name_H-M 'P 4/m m m'
_symmetry_Int_Tables_number 123
_symmetry_space_group_name_Hall '-P 4 2'
loop_
_atom_site_label
_atom_site_fract_x
_atom_site_fract_y
_atom_site_fract_z
Rb1 0.000 0.500 0.000
Hf1 0.000 0.000 0.500
Sn1 0.500 0.500 0.000
Se1 0.500 0.500 0.500

=====

# RbHfTaSe2 | Alexandria via LeMat-Bulk | GGA-PBE | optimized geometry
# - total magnetic moment (μB/cell) = 0.31
# - raw total energy (eV per atom) = -3.5657
data_RbHfTaSe2
_cell_length_a 5.378
_cell_length_b 5.378
_cell_length_c 5.126
_cell_angle_alpha 90.00
_cell_angle_beta 90.00
_cell_angle_gamma 90.00
_symmetry_space_group_name_H-M 'P 4/m m m'
_symmetry_Int_Tables_number 123
_symmetry_space_group_name_Hall '-P 4 2'
loop_
_atom_site_label
_atom_site_fract_x
_atom_site_fract_y
_atom_site_fract_z
Rb1 0.000 0.000 0.000
Hf1 0.000 0.000 0.500
Ta1 0.500 0.500 0.500
Se1 0.000 0.500 0.000

=====

# Rb4Tb3HfSe8 | Alexandria via LeMat-Bulk | GGA-PBE | optimized geometry
# - total magnetic moment (μB/cell) = 0.00
# - raw total energy (eV per atom) = -5.0736
data_Rb4Tb3HfSe8
_cell_length_a 8.3384
_cell_length_b 8.3384
_cell_length_c 24.0246
_cell_angle_alpha 90.00
_cell_angle_beta 90.00
_cell_angle_gamma 120.00
_symmetry_space_group_name_H-M 'R -3 m'
_symmetry_Int_Tables_number 166
_symmetry_space_group_name_Hall '-R 3 2"'
loop_
_atom_site_label
_atom_site_fract_x
_atom_site_fract_y
_atom_site_fract_z
Rb1 0.0000 0.0000 0.0000
Rb2 0.0000 0.5000 0.0000
Tb1 0.0000 0.5000 0.5000
Hf1 0.0000 0.0000 0.5000
Se1 0.0000 0.0000 0.2333
Se2 0.0164 0.5082 0.2312

=====

# Rb3Tb3HfSe8 | Alexandria via LeMat-Bulk | GGA-PBE | optimized geometry
# - total magnetic moment (μB/cell) = 0.00
# - raw total energy (eV per atom) = -5.3104
data_Rb3Tb3HfSe8
_cell_length_a 8.2855
_cell_length_b 8.2855
_cell_length_c 24.5171
_cell_angle_alpha 90.00
_cell_angle_beta 90.00
_cell_angle_gamma 120.00
_symmetry_space_group_name_H-M 'R -3 m'
_symmetry_Int_Tables_number 166
_symmetry_space_group_name_Hall '-R 3 2"'
loop_
_atom_site_label
_atom_site_fract_x
_atom_site_fract_y
_atom_site_fract_z
Rb1 0.0000 0.5000 0.0000
Tb1 0.0000 0.5000 0.5000
Hf1 0.0000 0.0000 0.5000
Se1 0.0000 0.0000 0.2321
Se2 0.0184 0.5092 0.2293

=====

# Rb2Tb2HfSe6 | Alexandria via LeMat-Bulk | GGA-PBE | optimized geometry
# - total magnetic moment (μB/cell) = 0.00
# - raw total energy (eV per atom) = -5.4692
data_Rb2Tb2HfSe6
_cell_length_a 7.113
_cell_length_b 12.223
_cell_length_c 8.553
_cell_angle_alpha 90.00
_cell_angle_beta 106.70
_cell_angle_gamma 90.00
_symmetry_space_group_name_H-M 'C 1 2/m 1'
_symmetry_Int_Tables_number 12
loop_
_symmetry_equiv_pos_as_xyz
'x,y,z'
'-x,-y,-z'
'-x,y,-z'
'x,-y,z'
'x+1/2,y+1/2,z'
'-x+1/2,-y+1/2,-z'
'-x+1/2,y+1/2,-z'
'x+1/2,-y+1/2,z'
loop_
_atom_site_label
_atom_site_fract_x
_atom_site_fract_y
_atom_site_fract_z
Rb1 0.000 0.171 0.000
Tb1 0.000 0.333 0.500
Hf1 0.000 0.000 0.500
Se1 0.224 0.157 0.691
Se2 0.248 0.000 0.311

=====

# Rb2HfTcSe | Alexandria via LeMat-Bulk | GGA-PBE | optimized geometry
# - total magnetic moment (μB/cell) = 1.00
# - raw total energy (eV per atom) = -4.0842
data_Rb2HfTcSe
_cell_length_a 6.949
_cell_length_b 6.949
_cell_length_c 4.608
_cell_angle_alpha 90.00
_cell_angle_beta 90.00
_cell_angle_gamma 90.00
_symmetry_space_group_name_H-M 'P 4/m m m'
_symmetry_Int_Tables_number 123
_symmetry_space_group_name_Hall '-P 4 2'
loop_
_atom_site_label
_atom_site_fract_x
_atom_site_fract_y
_atom_site_fract_z
Rb1 0.000 0.500 0.000
Hf1 0.000 0.000 0.000
Tc1 0.000 0.000 0.500
Se1 0.500 0.500 0.500

=====

# Rb2HfTe2Se6 | Alexandria via LeMat-Bulk | GGA-PBE | optimized geometry
# - total magnetic moment (μB/cell) = 0.00
# - raw total energy (eV per atom) = -4.2265
data_Rb2HfTe2Se6
_cell_length_a 16.112
_cell_length_b 7.553
_cell_length_c 7.653
_cell_angle_alpha 90.00
_cell_angle_beta 116.34
_cell_angle_gamma 90.00
_symmetry_space_group_name_H-M 'C 1 2/m 1'
_symmetry_Int_Tables_number 12
loop_
_symmetry_equiv_pos_as_xyz
'x,y,z'
'-x,-y,-z'
'-x,y,-z'
'x,-y,z'
'x+1/2,y+1/2,z'
'-x+1/2,-y+1/2,-z'
'-x+1/2,y+1/2,-z'
'x+1/2,-y+1/2,z'
loop_
_atom_site_label
_atom_site_fract_x
_atom_site_fract_y
_atom_site_fract_z
Rb1 0.229 0.000 0.235
Hf1 0.000 0.000 0.500
Te1 0.019 0.500 0.833
Se1 0.088 0.253 0.395
Se2 0.173 0.000 0.737

=====

# Rb2HfTeSe4 | Alexandria via LeMat-Bulk | GGA-PBE | optimized geometry
# - total magnetic moment (μB/cell) = 0.00
# - raw total energy (eV per atom) = -4.3659
data_Rb2HfTeSe4
_cell_length_a 5.721
_cell_length_b 15.783
_cell_length_c 26.879
_cell_angle_alpha 90.00
_cell_angle_beta 90.00
_cell_angle_gamma 90.00
_symmetry_space_group_name_H-M 'F d d d'
_symmetry_Int_Tables_number 70
loop_
_symmetry_equiv_pos_as_xyz
'x,y,z'
'-x,-y,-z'
'-x+1/4,-y+1/4,z'
'x+1/4,y+1/4,-z'
'x,-y+1/4,-z+1/4'
'-x,y+1/4,z+1/4'
'-x+1/4,y,-z+1/4'
'x+1/4,-y,z+1/4'
'x,y+1/2,z+1/2'
'-x,-y+1/2,-z+1/2'
'-x+1/4,-y+3/4,z+1/2'
'x+1/4,y+3/4,-z+1/2'
'x,-y+3/4,-z+3/4'
'-x,y+3/4,z+3/4'
'-x+1/4,y+1/2,-z+3/4'
'x+1/4,-y+1/2,z+3/4'
'x+1/2,y,z+1/2'
'-x+1/2,-y,-z+1/2'
'-x+3/4,-y+1/4,z+1/2'
'x+3/4,y+1/4,-z+1/2'
'x+1/2,-y+1/4,-z+3/4'
'-x+1/2,y+1/4,z+3/4'
'-x+3/4,y,-z+3/4'
'x+3/4,-y,z+3/4'
'x+1/2,y+1/2,z'
'-x+1/2,-y+1/2,-z'
'-x+3/4,-y+3/4,z'
'x+3/4,y+3/4,-z'
'x+1/2,-y+3/4,-z+1/4'
'-x+1/2,y+3/4,z+1/4'
'-x+3/4,y+1/2,-z+1/4'
'x+3/4,-y+1/2,z+1/4'
loop_
_atom_site_label
_atom_site_fract_x
_atom_site_fract_y
_atom_site_fract_z
Rb1 0.125 0.125 0.298
Hf1 0.125 0.125 0.125
Te1 0.125 0.125 0.625
Se1 0.083 0.267 0.436

=====

# RbHfTeSe2 | Alexandria via LeMat-Bulk | GGA-PBE | optimized geometry
# - total magnetic moment (μB/cell) = 0.00
# - raw total energy (eV per atom) = -5.1655
data_RbHfTeSe2
_cell_length_a 5.273
_cell_length_b 5.273
_cell_length_c 5.686
_cell_angle_alpha 90.00
_cell_angle_beta 90.00
_cell_angle_gamma 90.00
_symmetry_space_group_name_H-M 'P 4/m m m'
_symmetry_Int_Tables_number 123
_symmetry_space_group_name_Hall '-P 4 2'
loop_
_atom_site_label
_atom_site_fract_x
_atom_site_fract_y
_atom_site_fract_z
Rb1 0.000 0.000 0.000
Hf1 0.500 0.500 0.500
Te1 0.500 0.500 0.000
Se1 0.000 0.500 0.500

=====

# RbHfTe2Se | Alexandria via LeMat-Bulk | GGA-PBE | optimized geometry
# - total magnetic moment (μB/cell) = 0.00
# - raw total energy (eV per atom) = -4.9757
data_RbHfTe2Se
_cell_length_a 5.693
_cell_length_b 5.693
_cell_length_c 5.250
_cell_angle_alpha 90.00
_cell_angle_beta 90.00
_cell_angle_gamma 90.00
_symmetry_space_group_name_H-M 'P 4/m m m'
_symmetry_Int_Tables_number 123
_symmetry_space_group_name_Hall '-P 4 2'
loop_
_atom_site_label
_atom_site_fract_x
_atom_site_fract_y
_atom_site_fract_z
Rb1 0.000 0.000 0.000
Hf1 0.500 0.500 0.500
Te1 0.000 0.500 0.500
Se1 0.500 0.500 0.000

=====

# Rb2Tm2HfSe6 | Alexandria via LeMat-Bulk | GGA-PBE | optimized geometry
# - total magnetic moment (μB/cell) = 0.00
# - raw total energy (eV per atom) = -5.4365
data_Rb2Tm2HfSe6
_cell_length_a 7.011
_cell_length_b 12.077
_cell_length_c 8.543
_cell_angle_alpha 90.00
_cell_angle_beta 106.38
_cell_angle_gamma 90.00
_symmetry_space_group_name_H-M 'C 1 2/m 1'
_symmetry_Int_Tables_number 12
loop_
_symmetry_equiv_pos_as_xyz
'x,y,z'
'-x,-y,-z'
'-x,y,-z'
'x,-y,z'
'x+1/2,y+1/2,z'
'-x+1/2,-y+1/2,-z'
'-x+1/2,y+1/2,-z'
'x+1/2,-y+1/2,z'
loop_
_atom_site_label
_atom_site_fract_x
_atom_site_fract_y
_atom_site_fract_z
Rb1 0.000 0.170 0.000
Tm1 0.000 0.333 0.500
Hf1 0.000 0.000 0.500
Se1 0.225 0.159 0.689
Se2 0.246 0.500 0.688

=====

# Rb3Tm2HfSe6 | Alexandria via LeMat-Bulk | GGA-PBE | optimized geometry
# - total magnetic moment (μB/cell) = 0.00
# - raw total energy (eV per atom) = -5.1009
data_Rb3Tm2HfSe6
_cell_length_a 7.089
_cell_length_b 12.279
_cell_length_c 8.343
_cell_angle_alpha 90.00
_cell_angle_beta 106.47
_cell_angle_gamma 90.00
_symmetry_space_group_name_H-M 'C 1 2/m 1'
_symmetry_Int_Tables_number 12
loop_
_symmetry_equiv_pos_as_xyz
'x,y,z'
'-x,-y,-z'
'-x,y,-z'
'x,-y,z'
'x+1/2,y+1/2,z'
'-x+1/2,-y+1/2,-z'
'-x+1/2,y+1/2,-z'
'x+1/2,-y+1/2,z'
loop_
_atom_site_label
_atom_site_fract_x
_atom_site_fract_y
_atom_site_fract_z
Rb1 0.000 0.000 0.000
Rb2 0.000 0.330 0.000
Tm1 0.000 0.166 0.500
Hf1 0.000 0.500 0.500
Se1 0.225 0.340 0.693
Se2 0.244 0.000 0.694

=====

# Rb3Tm3HfSe8 | Alexandria via LeMat-Bulk | GGA-PBE | optimized geometry
# - total magnetic moment (μB/cell) = 0.00
# - raw total energy (eV per atom) = -5.2711
data_Rb3Tm3HfSe8
_cell_length_a 8.1681
_cell_length_b 8.1681
_cell_length_c 24.4744
_cell_angle_alpha 90.00
_cell_angle_beta 90.00
_cell_angle_gamma 120.00
_symmetry_space_group_name_H-M 'R -3 m'
_symmetry_Int_Tables_number 166
_symmetry_space_group_name_Hall '-R 3 2"'
loop_
_atom_site_label
_atom_site_fract_x
_atom_site_fract_y
_atom_site_fract_z
Rb1 0.0000 0.5000 0.0000
Tm1 0.0000 0.5000 0.5000
Hf1 0.0000 0.0000 0.5000
Se1 0.0000 0.0000 0.2310
Se2 0.0138 0.5069 0.2291

=====

# Rb4HfU3Se8 | Alexandria via LeMat-Bulk | GGA-PBE | optimized geometry
# - total magnetic moment (μB/cell) = 19.87
# - raw total energy (eV per atom) = -5.9342
data_Rb4HfU3Se8
_cell_length_a 14.398
_cell_length_b 8.312
_cell_length_c 9.413
_cell_angle_alpha 90.00
_cell_angle_beta 120.65
_cell_angle_gamma 90.00
_symmetry_space_group_name_H-M 'C 1 2/m 1'
_symmetry_Int_Tables_number 12
loop_
_symmetry_equiv_pos_as_xyz
'x,y,z'
'-x,-y,-z'
'-x,y,-z'
'x,-y,z'
'x+1/2,y+1/2,z'
'-x+1/2,-y+1/2,-z'
'-x+1/2,y+1/2,-z'
'x+1/2,-y+1/2,z'
loop_
_atom_site_label
_atom_site_fract_x
_atom_site_fract_y
_atom_site_fract_z
Rb1 0.000 0.000 0.000
Rb2 0.000 0.500 0.000
Rb3 0.250 0.250 0.000
Hf1 0.000 0.000 0.500
U1 0.000 0.500 0.500
U2 0.250 0.250 0.500
Se1 0.014 0.238 0.304
Se2 0.222 0.000 0.694
Se3 0.235 0.500 0.703

=====

# Rb2HfU2Se6 | Alexandria via LeMat-Bulk | GGA-PBE | optimized geometry
# - total magnetic moment (μB/cell) = 12.02
# - raw total energy (eV per atom) = -6.3018
data_Rb2HfU2Se6
_cell_length_a 7.046
_cell_length_b 12.111
_cell_length_c 8.631
_cell_angle_alpha 90.00
_cell_angle_beta 106.15
_cell_angle_gamma 90.00
_symmetry_space_group_name_H-M 'C 1 2/m 1'
_symmetry_Int_Tables_number 12
loop_
_symmetry_equiv_pos_as_xyz
'x,y,z'
'-x,-y,-z'
'-x,y,-z'
'x,-y,z'
'x+1/2,y+1/2,z'
'-x+1/2,-y+1/2,-z'
'-x+1/2,y+1/2,-z'
'x+1/2,-y+1/2,z'
loop_
_atom_site_label
_atom_site_fract_x
_atom_site_fract_y
_atom_site_fract_z
Rb1 0.000 0.170 0.000
Hf1 0.000 0.000 0.500
U1 0.000 0.333 0.500
Se1 0.225 0.157 0.693
Se2 0.250 0.000 0.308

=====

# Rb3HfU3Se8 | Alexandria via LeMat-Bulk | GGA-PBE | optimized geometry
# - total magnetic moment (μB/cell) = 27.03
# - raw total energy (eV per atom) = -6.2244
data_Rb3HfU3Se8
_cell_length_a 8.2196
_cell_length_b 8.2196
_cell_length_c 24.8152
_cell_angle_alpha 90.00
_cell_angle_beta 90.00
_cell_angle_gamma 120.00
_symmetry_space_group_name_H-M 'R -3 m'
_symmetry_Int_Tables_number 166
_symmetry_space_group_name_Hall '-R 3 2"'
loop_
_atom_site_label
_atom_site_fract_x
_atom_site_fract_y
_atom_site_fract_z
Rb1 0.0000 0.5000 0.0000
Hf1 0.0000 0.0000 0.5000
U1 0.0000 0.5000 0.5000
Se1 0.0000 0.0000 0.2339
Se2 0.0174 0.5087 0.2299

=====

# Rb3Y2HfSe6 | Alexandria via LeMat-Bulk | GGA-PBE | optimized geometry
# - total magnetic moment (μB/cell) = 0.00
# - raw total energy (eV per atom) = -5.4500
data_Rb3Y2HfSe6
_cell_length_a 7.148
_cell_length_b 12.383
_cell_length_c 8.364
_cell_angle_alpha 90.00
_cell_angle_beta 106.58
_cell_angle_gamma 90.00
_symmetry_space_group_name_H-M 'C 1 2/m 1'
_symmetry_Int_Tables_number 12
loop_
_symmetry_equiv_pos_as_xyz
'x,y,z'
'-x,-y,-z'
'-x,y,-z'
'x,-y,z'
'x+1/2,y+1/2,z'
'-x+1/2,-y+1/2,-z'
'-x+1/2,y+1/2,-z'
'x+1/2,-y+1/2,z'
loop_
_atom_site_label
_atom_site_fract_x
_atom_site_fract_y
_atom_site_fract_z
Rb1 0.000 0.000 0.000
Rb2 0.000 0.329 0.000
Y1 0.000 0.166 0.500
Hf1 0.000 0.500 0.500
Se1 0.223 0.342 0.694
Se2 0.249 0.000 0.696

=====

# RbYHf2Se | Alexandria via LeMat-Bulk | GGA-PBE | optimized geometry
# - total magnetic moment (μB/cell) = 0.00
# - raw total energy (eV per atom) = -5.7851
data_RbYHf2Se
_cell_length_a 5.085
_cell_length_b 5.085
_cell_length_c 5.926
_cell_angle_alpha 90.00
_cell_angle_beta 90.00
_cell_angle_gamma 90.00
_symmetry_space_group_name_H-M 'P 4/m m m'
_symmetry_Int_Tables_number 123
_symmetry_space_group_name_Hall '-P 4 2'
loop_
_atom_site_label
_atom_site_fract_x
_atom_site_fract_y
_atom_site_fract_z
Rb1 0.000 0.000 0.000
Y1 0.500 0.500 0.000
Hf1 0.000 0.500 0.500
Se1 0.000 0.000 0.500

=====

# Rb2HfSi4 | Alexandria via LeMat-Bulk | GGA-PBE | optimized geometry
# - total magnetic moment (μB/cell) = 0.00
# - raw total energy (eV per atom) = -4.2711
data_Rb2HfSi4
_cell_length_a 5.161
_cell_length_b 5.161
_cell_length_c 17.927
_cell_angle_alpha 90.00
_cell_angle_beta 90.00
_cell_angle_gamma 90.00
_symmetry_space_group_name_H-M 'I 4/m m m'
_symmetry_Int_Tables_number 139
_symmetry_space_group_name_Hall '-I 4 2'
loop_
_atom_site_label
_atom_site_fract_x
_atom_site_fract_y
_atom_site_fract_z
Rb1 0.000 0.000 0.154
Hf1 0.000 0.000 0.500
Si1 0.000 0.000 0.361
Si2 0.000 0.500 0.000